## A
36
Lattice="10.393 0.000 0.000 0.000 10.393 0.000 0.000 0.000 10.393" Properties=species:S:1:pos:R:3 comment="PBE KHg11, relaxed" crystal_system=cubic sg="Pm-3m (221)" mass_density_g_cm3=9.97 pbc="T T T"
Hg 8.800 1.593 8.800
Hg 3.587 6.806 0.000
Hg 2.775 7.617 5.196
Hg 6.806 6.806 0.000
Hg 5.196 7.617 7.617
Hg 0.000 3.587 3.587
Hg 6.806 0.000 3.587
Hg 8.800 8.800 8.800
Hg 2.775 5.196 2.775
Hg 1.593 1.593 1.593
Hg 1.593 8.800 1.593
Hg 2.775 2.775 5.196
Hg 6.806 3.587 0.000
Hg 3.587 0.000 3.587
Hg 7.617 2.775 5.196
Hg 0.000 3.587 6.806
Hg 2.775 5.196 7.617
Hg 0.000 6.806 3.587
Hg 0.000 6.806 6.806
Hg 7.617 7.617 5.196
Hg 5.196 2.775 2.775
Hg 7.617 5.196 7.617
Hg 1.593 1.593 8.800
Hg 3.587 0.000 6.806
Hg 5.196 7.617 2.775
Hg 3.587 3.587 0.000
Hg 6.806 0.000 6.806
Hg 1.593 8.800 8.800
Hg 5.196 5.196 5.196
K 0.000 0.000 5.196
K 0.000 5.196 0.000
K 5.196 0.000 0.000
Hg 7.617 5.196 2.775
Hg 5.196 2.775 7.617
Hg 8.800 8.800 1.593
Hg 8.800 1.593 1.593

***

## B
12
Lattice="-0.836 -6.881 5.323 -2.419 1.176 8.315 -7.933 -2.541 2.644" Properties=species:S:1:pos:R:3 comment="PBE KHg11, relaxed" crystal_system=cubic sg="F-43m (216)" mass_density_g_cm3=7.90 pbc="T T T"
Hg 0.000 0.000 0.000
Hg -7.967 -2.747 9.546
K -8.392 -6.184 12.212
Hg -8.893 -4.430 7.225
Hg -4.335 -7.218 8.946
Hg -5.352 -2.043 10.867
Hg -6.761 -3.334 5.400
Hg -4.428 -4.911 10.882
Hg -3.222 -5.498 6.736
Hg -3.798 -2.799 5.527
Hg -4.011 -1.480 8.228
Hg -7.178 -6.765 8.054

***

Verdict on stability: B comes out at the bottom.

***

## A
24
Lattice="14.436 0.000 0.000 0.000 4.049 0.000 0.000 0.000 10.865" Properties=species:S:1:pos:R:3 comment="PBE KLuHgS3, relaxed" crystal_system=orthorhombic sg="Pnma (62)" mass_density_g_cm3=5.34 pbc="T T T"
Hg 7.031 3.037 6.597
S 13.132 1.012 4.623
Lu 6.920 1.012 9.268
Hg 0.187 1.012 1.164
S 5.811 3.037 4.032
S 9.174 1.012 2.499
S 12.481 3.037 7.932
Hg 14.249 3.037 9.701
S 8.523 3.037 10.056
S 13.029 3.037 1.401
Lu 7.517 3.037 1.597
Lu 0.298 3.037 3.835
S 5.914 1.012 0.809
K 3.761 1.012 6.046
K 10.979 1.012 10.252
S 8.625 1.012 6.833
S 1.955 1.012 2.934
Lu 14.138 1.012 7.030
S 1.407 1.012 9.465
S 1.305 3.037 6.242
K 3.457 3.037 0.613
Hg 7.406 1.012 4.268
K 10.676 3.037 4.820
S 5.263 3.037 8.366

***

## B
12
Lattice="8.651 -1.983 0.000 8.651 1.983 0.000 -2.001 0.000 8.669" Properties=species:S:1:pos:R:3 comment="PBE KLuHgS3, relaxed" crystal_system=monoclinic sg="C2/m (12)" mass_density_g_cm3=5.70 pbc="T T T"
Hg 8.457 0.000 1.956
S 5.449 0.000 1.089
S 4.261 0.000 6.230
S 0.000 0.000 0.000
Lu 12.483 0.000 7.982
S 7.651 0.000 4.335
K 1.346 0.000 4.946
Hg 6.845 0.000 6.714
S 9.853 0.000 7.581
Lu 2.818 0.000 0.687
S 11.041 0.000 2.439
K 13.956 0.000 3.723

***

## C
24
Lattice="-1.923 -4.631 9.362 1.900 -3.343 -1.263 12.565 5.196 5.151" Properties=species:S:1:pos:R:3 comment="PBE KLuHgS3, relaxed" crystal_system=orthorhombic sg="Pnma (62)" mass_density_g_cm3=5.43 pbc="T T T"
S 2.276 -1.110 3.119
Hg 10.069 2.228 6.009
K 6.375 0.601 4.757
S 11.345 3.577 4.361
S 10.652 1.674 8.352
Lu 2.566 -1.943 5.758
S 6.062 -0.809 1.533
S 10.266 -1.667 10.131
Lu 3.652 0.424 1.128
S 1.890 -4.452 4.898
Lu 9.977 -0.835 7.492
Hg 2.473 -5.006 7.241
S 2.974 -2.739 8.480
Hg 4.682 -2.175 3.071
S 6.480 -1.969 11.717
S 7.407 0.030 7.821
S 9.569 -0.038 4.770
Lu 8.890 -3.202 12.122
K 1.087 -3.562 1.335
K 11.456 0.785 11.915
S 1.197 -6.354 8.889
K 6.168 -3.379 8.493
Hg 7.861 -0.603 10.179
S 5.135 -2.808 5.428

***

## D
24
Lattice="8.109 0.000 0.000 0.000 4.408 0.000 0.000 0.000 15.900" Properties=species:S:1:pos:R:3 comment="PBE KLuHgS3, relaxed" crystal_system=orthorhombic sg="Pnma (62)" mass_density_g_cm3=5.97 pbc="T T T"
S 1.001 3.306 0.680
S 2.227 3.306 4.752
S 0.122 3.306 9.162
S 5.055 3.306 7.270
K 7.557 3.306 12.785
K 4.606 1.102 4.835
S 1.827 1.102 12.702
S 7.987 1.102 6.738
K 3.503 3.306 11.065
S 3.933 1.102 1.212
K 0.552 1.102 3.115
Lu 5.849 1.102 8.527
S 7.108 1.102 15.220
S 4.176 3.306 14.688
S 5.882 1.102 11.147
Hg 0.685 1.102 10.414
Lu 2.260 3.306 7.373
S 3.054 1.102 8.630
Lu 1.795 1.102 15.323
S 6.282 3.306 3.197
Hg 7.424 3.306 5.486
Lu 6.314 3.306 0.577
Hg 3.369 3.306 2.464
Hg 4.740 1.102 13.435

***

Verdict on stability: D comes out at the bottom.

***

## A
8
Lattice="4.464 0.000 0.000 0.000 4.464 0.000 0.000 0.000 9.156" Properties=species:S:1:pos:R:3 comment="PBE KHgNO, relaxed" crystal_system=tetragonal sg="P4/nmm (129)" mass_density_g_cm3=4.91 pbc="T T T"
K 3.348 3.348 7.840
O 3.348 1.116 0.000
Hg 1.116 3.348 4.578
N 3.348 3.348 4.838
K 1.116 1.116 1.316
N 1.116 1.116 4.318
O 1.116 3.348 0.000
Hg 3.348 1.116 4.578

***

## B
8
Lattice="1.168 -0.035 3.380 -4.502 -4.658 1.508 4.573 -4.948 -1.632" Properties=species:S:1:pos:R:3 comment="PBE KHgNO, relaxed" crystal_system=orthorhombic sg="Pmc2_1 (26)" mass_density_g_cm3=5.43 pbc="T T T"
K 1.218 -0.949 1.461
K 2.040 -6.603 1.119
Hg -0.571 -4.136 0.155
N -1.887 -5.702 0.594
O -0.422 -2.899 2.008
Hg -1.599 -7.789 0.472
O 0.161 -8.294 1.751
N 1.394 -4.488 -0.528

***

## C
8
Lattice="-1.926 -3.336 0.000 0.000 0.000 6.274 -5.463 3.154 0.000" Properties=species:S:1:pos:R:3 comment="PBE KHgNO, relaxed" crystal_system=orthorhombic sg="Pmc2_1 (26)" mass_density_g_cm3=5.87 pbc="T T T"
K -4.379 2.528 0.021
Hg -2.352 -0.866 0.005
N -1.949 1.126 6.258
O -0.979 -1.658 1.584
K -1.084 0.626 3.158
Hg -5.038 0.685 3.142
O -6.410 1.477 4.721
N -3.514 2.029 3.121

***

Verdict on stability: A comes out at the bottom.

***

## A
3
Lattice="-3.757 0.377 4.106 -4.819 -2.786 -0.365 -0.949 -4.379 3.323" Properties=species:S:1:pos:R:3 comment="PBE KNaHg, relaxed" crystal_system=cubic sg="F-43m (216)" mass_density_g_cm3=3.55 pbc="T T T"
K -2.381 -1.697 1.766
Hg 0.000 0.000 0.000
Na -7.144 -5.091 5.297

***

## B
18
Lattice="2.422 -8.061 -5.414 5.637 5.127 6.488 -7.267 -5.983 3.399" Properties=species:S:1:pos:R:3 comment="PBE KNaHg, relaxed" crystal_system=orthorhombic sg="Ima2 (46)" mass_density_g_cm3=4.02 pbc="T T T"
K -1.104 -3.214 2.097
K -1.934 -3.656 7.037
K 4.880 -2.134 3.177
Hg 1.555 -0.911 2.735
Na -0.795 -0.436 4.946
K 3.309 -5.474 -2.486
Hg -1.269 -10.074 -1.087
Hg 5.182 -4.520 0.468
Na 0.020 -0.007 0.003
Hg 0.729 -1.371 7.674
Hg 0.343 -5.398 -0.406
K -1.575 -7.698 1.631
Na 1.534 -3.181 5.080
K 2.498 -5.922 2.457
Na 2.345 -2.755 0.161
Na 2.695 0.192 5.588
Na -3.754 -5.361 4.019
Hg -0.470 -5.825 4.528

***

Verdict on stability: A comes out at the bottom.